# 1
# Sc2TlCuMo

A relaxed Sc2TlCuMo crystal (PBE, Alexandria via LeMat-Bulk).

Cell and atoms, written as extended XYZ:
```
5
Lattice="-1.7882 -4.9543 -0.8394 0.5180 -1.0444 5.0611 -4.9967 1.6589 0.8538" Properties=species:S:1:pos:R:3 pbc="T T T"
Sc -2.4983 0.8294 0.4269
Sc -0.8941 -2.4772 -0.4197
Cu -3.1334 -2.1699 2.5378
Tl 0.0000 0.0000 0.0000
Mo 0.2590 -0.5222 2.5305
```

The space group is P4/mmm. For the energy above the lowest structure with this stoichiometry, the calculation gives 89 meV/atom. The density of states at the Fermi level is 6.26 states/eV per cell.

=====

# 2
# AcGa9Os2

A relaxed AcGa9Os2 crystal (PBE, Alexandria via LeMat-Bulk).

Cell and atoms, written as extended XYZ:
```
12
Lattice="3.9335 0.0000 0.0000 0.0000 8.2504 0.0000 0.0000 -4.1252 7.1451" Properties=species:S:1:pos:R:3 pbc="T T T"
Ga 1.9668 1.6001 5.6872
Ga 1.9668 0.0000 2.9158
Ga 1.9668 -1.6001 5.6872
Ga 1.9668 5.7253 1.4579
Ga 0.0000 4.1252 0.0000
Ga 1.9668 2.5251 1.4579
Ga 0.0000 -2.0626 3.5725
Ga 0.0000 2.0626 3.5725
Ga 1.9668 4.1252 4.2293
Os 0.0000 0.0000 4.7634
Os 0.0000 4.1252 2.3817
Ac 0.0000 0.0000 0.0000
```

The space group is P6/mmm. The value obtained for the total energy is -4.750 eV/atom. The density of states at the Fermi level is 3.08 states/eV per cell.

=====

# 3
# Pr2TlZn6

A relaxed Pr2TlZn6 crystal (PBE, Alexandria via LeMat-Bulk).

Cell and atoms, written as extended XYZ:
```
9
Lattice="-1.4001 -0.4886 -3.2670 6.6895 2.8255 -3.2893 -0.7286 -7.7997 1.4787" Properties=species:S:1:pos:R:3 pbc="T T T"
Zn -0.9387 -2.7993 -1.1491
Zn 1.4913 0.6813 -2.7110
Zn 3.0694 -6.1440 -2.3666
Zn 3.3081 -3.5890 -2.8510
Zn 1.2526 -1.8737 -2.2266
Zn -1.1900 -5.4889 -0.6392
Pr 2.8167 -1.2048 -4.9670
Pr 1.7441 -4.2579 -0.1106
Tl -0.7286 -7.7996 1.4787
```

The space group is P6/mmm. The value obtained for the total energy is -2.348 eV/atom. The density of states at the Fermi level is 5.61 states/eV per cell.

=====

# 4
# CeTmAlZn

A relaxed CeTmAlZn crystal (PBE, Alexandria via LeMat-Bulk).

Cell and atoms, written as extended XYZ:
```
4
Lattice="-0.8365 -0.2707 5.0008 3.5894 -1.8504 3.0779 2.4811 3.1040 3.1608" Properties=species:S:1:pos:R:3 pbc="T T T"
Al 2.6170 0.4915 5.6198
Zn 0.0000 0.0000 0.0000
Ce 3.9255 0.7372 8.4296
Tm 1.3085 0.2457 2.8099
```

The space group is F-43m. The value obtained for the total energy is -4.170 eV/atom. The density of states at the Fermi level is 4.83 states/eV per cell.

=====

# 5
# Tl4SeI3

A relaxed Tl4SeI3 crystal (PBE, Alexandria via LeMat-Bulk).

Cell and atoms, written as extended XYZ:
```
16
Lattice="7.0827 0.0000 0.0000 0.0000 10.8971 0.0000 0.0000 0.0000 9.5694" Properties=species:S:1:pos:R:3 pbc="T T T"
I 0.3285 7.1771 7.5960
I 3.9321 10.2257 0.0000
I 0.3285 7.1771 1.9734
I 3.8698 3.7200 6.7581
I 3.8698 3.7200 2.8113
I 0.3908 0.6713 4.7847
Tl 0.4264 10.2573 0.0000
Tl 3.9359 7.2285 2.0206
Tl 1.0623 8.4266 4.7847
Tl 4.6036 2.4705 0.0000
Tl 3.9359 7.2285 7.5488
Tl 0.3946 3.6686 6.8053
Tl 0.3946 3.6686 2.7641
Tl 3.9677 0.6398 4.7847
Se 3.8652 8.4247 4.7847
Se 0.3239 2.4724 0.0000
```

The space group is Pmn2_1. The value obtained for the total energy is -2.636 eV/atom. The density of states at the Fermi level is 7.79 states/eV per cell.

=====

# 6
# YSi2Pd8

A relaxed YSi2Pd8 crystal (PBE, Alexandria via LeMat-Bulk).

Cell and atoms, written as extended XYZ:
```
11
Lattice="5.8602 0.0000 0.0000 0.0000 5.8602 0.0000 0.0000 0.0000 5.7767" Properties=species:S:1:pos:R:3 pbc="T T T"
Pd 4.5093 1.3508 4.3964
Pd 4.5093 4.5093 1.3803
Pd 4.5093 1.3508 1.3803
Pd 1.3508 4.5093 1.3803
Pd 4.5093 4.5093 4.3964
Pd 1.3508 1.3508 1.3803
Pd 1.3508 4.5093 4.3964
Pd 1.3508 1.3508 4.3964
Y 2.9301 2.9301 2.8884
Si 0.0000 2.9301 0.0000
Si 2.9301 0.0000 0.0000
```

The space group is P4/mmm. The value obtained for the total energy is -5.734 eV/atom. The density of states at the Fermi level is 2.66 states/eV per cell.

=====

# 7
# YHo5Sc5

A relaxed YHo5Sc5 crystal (PBE, Alexandria via LeMat-Bulk).

Cell and atoms, written as extended XYZ:
```
11
Lattice="5.7761 0.0000 0.0000 -2.8881 5.0023 0.0000 0.0000 0.0000 11.2332" Properties=species:S:1:pos:R:3 pbc="T T T"
Sc 1.4271 0.8239 5.6166
Sc 0.0000 0.0000 8.2115
Sc 0.0000 0.0000 3.0217
Sc 4.3491 0.8239 5.6166
Sc 2.8881 3.3545 5.6166
Ho 2.8881 1.6674 1.8100
Ho 0.0000 3.3349 3.5916
Ho 0.0000 3.3349 7.6416
Ho 2.8881 1.6674 9.4232
Ho 0.0000 0.0000 0.0000
Y 0.0000 3.3349 0.0000
```

The space group is P-6m2. The value obtained for the total energy is -5.306 eV/atom. The density of states at the Fermi level is 22.26 states/eV per cell.

=====

# 8
# NaSrCoP

A relaxed NaSrCoP crystal (PBE, Alexandria via LeMat-Bulk).

Cell and atoms, written as extended XYZ:
```
8
Lattice="3.9642 0.0000 0.0000 0.0000 3.9642 0.0000 0.0000 0.0000 12.2644" Properties=species:S:1:pos:R:3 pbc="T T T"
Sr 0.9910 0.9910 9.7305
Sr 2.9731 2.9731 2.5339
P 2.9731 2.9731 11.1597
P 0.9910 0.9910 1.1047
Na 2.9731 0.9910 6.1322
Na 0.9910 2.9731 6.1322
Co 0.9910 2.9731 0.0000
Co 2.9731 0.9910 0.0000
```

The space group is P4/nmm. The value obtained for the total energy is -4.356 eV/atom. The density of states at the Fermi level is 3.50 states/eV per cell.

=====

# 9
# Ac2GeRh3

A relaxed Ac2GeRh3 crystal (PBE, Alexandria via LeMat-Bulk).

Cell and atoms, written as extended XYZ:
```
12
Lattice="6.1308 0.0748 0.0000 -0.1634 6.1290 0.0000 -2.9837 -3.1019 7.5978" Properties=species:S:1:pos:R:3 pbc="T T T"
Rh 4.4836 1.6592 1.3157
Rh 1.4999 -1.4427 6.2821
Rh -1.4999 1.4427 6.2821
Rh 2.9837 3.1019 4.9860
Rh 1.4838 4.5447 1.3157
Rh 0.0000 0.0000 2.6118
Ac -0.0817 3.0645 3.7989
Ac 3.0654 0.0374 3.7989
Ac 1.5175 1.5776 0.0000
Ac 4.4499 4.6262 0.0000
Ge 0.0000 0.0000 5.0434
Ge 2.9837 3.1019 2.5543
```

The space group is Fmmm. For the energy above the lowest structure with this stoichiometry, the calculation gives 45 meV/atom. The density of states at the Fermi level is 8.38 states/eV per cell.

=====

# 10
# KZnMo

A relaxed KZnMo crystal (PBE, Alexandria via LeMat-Bulk).

Cell and atoms, written as extended XYZ:
```
3
Lattice="-8.0658 -1.0502 -1.6018 -6.6904 -4.7037 -1.3563 6.9989 2.8631 3.3976" Properties=species:S:1:pos:R:3 pbc="T T T"
K -0.0235 -0.0092 -0.0047
Zn -10.1385 -3.9533 -2.0324
Mo -4.5941 -1.7914 -0.9209
```

The space group is I4mm. For the energy above the lowest structure with this stoichiometry, the calculation gives 0 meV/atom. The density of states at the Fermi level is 3.66 states/eV per cell.

=====

# 11
# Ca16Mg12Ag

A relaxed Ca16Mg12Ag crystal (PBE, Alexandria via LeMat-Bulk).

Cell and atoms, written as extended XYZ:
```
29
Lattice="9.9334 0.0759 -3.4977 -4.8387 8.6755 -3.4977 0.0638 0.1097 10.6969" Properties=species:S:1:pos:R:3 pbc="T T T"
Ca 4.4862 2.6089 3.3131
Ca -0.7758 8.7246 2.4049
Ca 1.5331 2.6336 5.3803
Ca 2.0240 8.7607 -1.5684
Ca 6.7715 5.6417 -5.6929
Ca 1.9771 3.3961 0.7397
Ca 1.0383 5.7440 -3.5835
Ca 0.0536 5.1893 3.3131
Ca 4.4823 3.7391 -3.5835
Ca 6.6190 6.0858 -1.5684
Ca 1.5626 8.6741 -5.6929
Ca -0.2386 6.2426 -0.2832
Ca 0.0145 0.0249 0.0761
Ca 5.0858 8.7361 0.1247
Ca 7.9699 3.6332 2.4049
Ca 5.5463 2.8749 -0.2832
Mg 2.4025 7.1908 1.7070
Mg -2.0601 7.0798 5.3060
Mg 2.7259 1.5080 8.7134
Mg -2.9532 8.7157 -0.3555
Mg 5.0669 5.6398 1.7070
Mg -0.0346 3.1151 8.7134
Mg 7.1737 1.7043 5.3060
Mg 3.3236 5.7092 4.3674
Mg 8.0780 3.2743 -2.9051
Mg 4.2226 7.2534 -3.7093
Mg -1.1412 8.6413 -2.9051
Mg 9.0373 1.7353 -0.3555
Ag 3.4481 5.9230 -0.9516
```

The space group is Cm. The value obtained for the total energy is -1.913 eV/atom. The density of states at the Fermi level is 23.58 states/eV per cell.

=====

# 12
# Hf2ThMg

A relaxed Hf2ThMg crystal (PBE, Alexandria via LeMat-Bulk).

Cell and atoms, written as extended XYZ:
```
4
Lattice="-2.3037 -2.3097 -0.7851 1.7216 -0.7742 -2.7739 4.5183 -6.0321 4.4878" Properties=species:S:1:pos:R:3 pbc="T T T"
Mg -0.2910 -1.5419 -1.7795
Hf 3.4690 -4.6313 3.4457
Hf 1.0492 -1.4008 1.0422
Th 1.9681 -4.5580 0.4644
```

The space group is P4/mmm. For the energy above the lowest structure with this stoichiometry, the calculation gives 34 meV/atom. The density of states at the Fermi level is 3.28 states/eV per cell.

=====

# 13
# Zn3Os

A relaxed Zn3Os crystal (PBE, Alexandria via LeMat-Bulk).

Cell and atoms, written as extended XYZ:
```
4
Lattice="-0.3890 -1.9459 1.7540 -0.7302 -2.5789 -3.0230 5.2257 -1.2338 -0.2098" Properties=species:S:1:pos:R:3 pbc="T T T"
Zn 2.6128 -0.6169 -0.1049
Zn 0.6990 -2.5596 -0.6850
Zn 3.4075 -3.1990 -0.7938
Os 0.0000 0.0000 0.0000
```

The space group is Pmmm. The value obtained for the total energy is -3.600 eV/atom. The density of states at the Fermi level is 2.35 states/eV per cell.

=====

# 14
# SrTlI5

A relaxed SrTlI5 crystal (PBE, Alexandria via LeMat-Bulk).

Cell and atoms, written as extended XYZ:
```
14
Lattice="8.0844 0.1675 -2.8702 -1.0810 8.0155 -2.8690 0.0782 0.0918 11.8367" Properties=species:S:1:pos:R:3 pbc="T T T"
I 1.3187 5.2649 1.5007
I 0.4549 6.0836 7.4158
I 5.7629 3.0099 4.5968
I 3.9645 7.3619 4.5735
I 6.6267 2.1912 -1.3183
I 1.5044 2.2473 4.9477
I 1.6293 2.3946 9.9403
I 5.4523 5.8801 -3.8428
I 3.1171 0.9129 1.5240
I 5.5772 6.0275 1.1498
Tl 0.5320 3.2083 7.4434
Tl 6.5496 5.0665 -1.3459
Sr 4.0813 0.1297 4.4833
Sr 4.0422 0.0837 -1.4351
```

The space group is C2/c. The value obtained for the total energy is -2.513 eV/atom.

=====

# 15
# TeI2BrO

A relaxed TeI2BrO crystal (PBE, Alexandria via LeMat-Bulk).

Cell and atoms, written as extended XYZ:
```
5
Lattice="-2.0232 -2.6933 -4.3052 4.9633 -2.0292 -1.0630 -0.8776 -3.5143 2.6110" Properties=species:S:1:pos:R:3 pbc="T T T"
Te -0.4388 -1.7572 1.3055
I -1.0116 -1.3467 -2.1526
I 2.4816 -1.0146 -0.5315
Br 1.0312 -4.1184 -1.3786
O 0.0000 0.0000 0.0000
```

The space group is P4/mmm. For the energy above the lowest structure with this stoichiometry, the calculation gives 454 meV/atom. The density of states at the Fermi level is 6.17 states/eV per cell.

=====

# 16
# Er2Tm2Sc7

A relaxed Er2Tm2Sc7 crystal (PBE, Alexandria via LeMat-Bulk).

Cell and atoms, written as extended XYZ:
```
11
Lattice="-5.0511 4.1010 4.8399 -0.5974 -5.6142 -0.0556 3.7961 -4.0738 5.8950" Properties=species:S:1:pos:R:3 pbc="T T T"
Sc -1.9173 0.3889 2.2734
Sc 0.7436 -5.9906 2.6006
Sc -2.5960 0.4036 8.0786
Sc 0.0000 0.0000 0.0000
Sc 0.0648 -5.9759 8.4059
Sc -1.6765 -1.3800 5.2483
Sc -0.1759 -4.2070 5.4309
Tm -0.5779 -2.8011 2.3606
Tm -1.2745 -2.7860 8.3187
Er 1.1771 -7.0748 5.5964
Er -3.0296 1.4878 5.0829
```

The space group is C2/m. For the energy above the lowest structure with this stoichiometry, the calculation gives 3 meV/atom. The density of states at the Fermi level is 19.70 states/eV per cell.

=====

# 17
# ZnHgOs2

A relaxed ZnHgOs2 crystal (PBE, Alexandria via LeMat-Bulk).

Cell and atoms, written as extended XYZ:
```
4
Lattice="4.6765 -0.0023 -0.0021 3.7969 2.7301 -0.0021 0.6694 0.2155 5.0347" Properties=species:S:1:pos:R:3 pbc="T T T"
Zn 4.5297 1.4582 2.5346
Hg 2.3148 0.7452 1.3589
Os 6.8472 2.2043 3.9071
Os 0.6918 0.2227 4.7800
```

The space group is Cm. For the energy above the lowest structure with this stoichiometry, the calculation gives 312 meV/atom. The density of states at the Fermi level is 2.70 states/eV per cell.

=====

# 18
# Fe3NiH

A relaxed Fe3NiH crystal (PBE, Alexandria via LeMat-Bulk).

Cell and atoms, written as extended XYZ:
```
5
Lattice="-2.1837 3.4988 -1.4048 -3.3397 -2.5484 -1.1555 -1.7496 0.4977 3.9591" Properties=species:S:1:pos:R:3 pbc="T T T"
Fe -0.8748 0.2488 1.9796
Fe -1.6699 -1.2742 -0.5778
Fe -1.0918 1.7494 -0.7024
H -3.6365 0.7240 0.6994
Ni 0.0000 0.0000 0.0000
```

The space group is Pm-3m. For the energy above the lowest structure with this stoichiometry, the calculation gives 1474 meV/atom. The density of states at the Fermi level is 4.61 states/eV per cell.

=====

# 19
# AcMgIn2Ga

A relaxed AcMgIn2Ga crystal (PBE, Alexandria via LeMat-Bulk).

Cell and atoms, written as extended XYZ:
```
5
Lattice="4.7289 0.0000 0.0000 0.0000 4.7289 0.0000 -2.3645 -2.3645 6.0038" Properties=species:S:1:pos:R:3 pbc="T T T"
In 0.0000 0.0000 4.5887
In 2.3645 2.3645 1.4150
Mg 2.3645 0.0000 3.0019
Ga 0.0000 2.3645 3.0019
Ac 0.0000 0.0000 0.0000
```

The space group is I-4m2. The value obtained for the total energy is -3.164 eV/atom. The density of states at the Fermi level is 2.04 states/eV per cell.

=====

# 20
# DyHo2ScBi5

A relaxed DyHo2ScBi5 crystal (PBE, Alexandria via LeMat-Bulk).

Cell and atoms, written as extended XYZ:
```
9
Lattice="-0.2051 4.6078 -2.9339 -5.4464 -0.3981 -0.2444 -0.8800 6.1100 9.6575" Properties=species:S:1:pos:R:3 pbc="T T T"
Bi -3.1632 2.8560 4.7065
Bi -2.8257 2.1048 -1.5892
Bi -0.6694 4.6481 7.3468
Bi -0.2105 1.4619 2.3107
Bi -0.5425 5.3589 3.3618
Sc 0.0000 0.0000 0.0000
Dy -0.4400 3.0550 4.8288
Ho -3.4623 6.5250 5.3974
Ho -3.0691 3.7947 1.0819
```

The space group is P4/mmm. The value obtained for the total energy is -4.290 eV/atom. The density of states at the Fermi level is 6.92 states/eV per cell.